Material: CaMgMn
Method: DFT, PBE
State: relaxed

As for the total DFT energy (no corrections): -3.9076 eV/atom.

The space group is P-6m2 (No. 187) and the conventional cell measures 5.0042, 5.0042 and 3.5338 Å, with angles of 90.00, 90.00 and 120.00 degrees. The asymmetric unit holds Ca at (0.0000, 0.0000, 0.0000), Mg at (0.6667, 0.3333, 0.5000) and Mn at (0.3333, 0.6667, 0.5000).


Material: PrPuIrPd
Method: DFT, PBE
State: relaxed

The value obtained for the distance to the lowest polymorph of the same formula is 72 meV per atom.

The space group is F-43m (No. 216) and the conventional cell measures 7.0797, 7.0797 and 7.0797 Å, with angles of 90.00, 90.00 and 90.00 degrees. The asymmetric unit holds Pr at (0.0000, 0.0000, 0.0000), Pu at (0.0000, 0.0000, 0.5000), Ir at (0.2500, 0.2500, 0.2500) and Pd at (0.2500, 0.2500, 0.7500).


Material: Sb2W
Method: DFT, PBE
State: relaxed

The uncorrected formation energy comes out at 1.13 eV per formula unit. The value obtained for the distance to the lowest polymorph of the same formula is 98 meV per atom.

The space group is Pnnm (No. 58) and the conventional cell measures 6.2699, 7.0440 and 3.2721 Å, with angles of 90.00, 90.00 and 90.00 degrees. The asymmetric unit holds Sb at (0.1958, 0.1469, 0.0000) and W at (0.0000, 0.5000, 0.0000).


Material: ScCoSbRh
Method: DFT, PBE
State: relaxed

The uncorrected formation energy comes out at -2.31 eV per formula unit.

The space group is F-43m (No. 216) and the conventional cell measures 6.3642, 6.3642 and 6.3642 Å, with angles of 90.00, 90.00 and 90.00 degrees. The asymmetric unit holds Sc at (0.0000, 0.0000, 0.0000), Co at (0.2500, 0.2500, 0.2500), Sb at (0.0000, 0.0000, 0.5000) and Rh at (0.2500, 0.2500, 0.7500).